(1)
Below is a crystal of TaNb3F relaxed with PBEsol, with properties calculated at the meta-GGA SCAN level.

Output
Magnetic moment   0.449 μB/atom
Formation energy from raw total energies   1.471 eV/atom

Cell: 4.8940 4.8940 4.8940 Å, 90.00 90.00 90.00°
Atoms (fractional coordinates):
Ta: 0.0000 0.0000 0.0000
Nb: 0.0000 0.0000 0.5000
Nb: 0.0000 0.5000 0.0000
Nb: 0.5000 0.0000 0.0000
F: 0.5000 0.5000 0.5000



(2)
Below is a crystal of Nb2TlTcF relaxed with PBEsol, with properties calculated at the meta-GGA SCAN level.

Output
Magnetic moment   0.000 μB/atom
Formation energy from raw total energies   0.277 eV/atom

Cell: 4.8728 4.8728 3.9345 Å, 90.00 90.00 90.00°
Atoms (fractional coordinates):
Nb: 0.0000 0.5000 0.0000
Nb: 0.5000 0.0000 0.0000
Tl: 0.0000 0.0000 0.5000
Tc: 0.5000 0.5000 0.0000
F: 0.5000 0.5000 0.5000



| no. | calculated volume (A^3/atom) | density (Mg/m³) | DOS at the Fermi energy (states/eV/f.u.) |
| --- | --- | --- | --- |
| 1 | 23.4 | 6.8 | 5.46 |
| 2 | 18.7 | 9.0 | 2.94 |